Record 1
Below is a geometry-optimized Cs5ThS5 structure, with properties calculated at the PBE level.

Unit cell a=6.4426 b=8.6507 c=9.4465 alpha=108.44 beta=90.00 gamma=111.86
Positions (direct):
Cs1 0.6990 0.3980 0.3053
Cs2 0.6738 0.3476 0.8365
Cs3 0.0000 0.0000 0.5000
Cs4 0.3262 0.6524 0.1635
Cs5 0.3010 0.6020 0.6947
Th1 0.0000 0.0000 0.0000
S1 0.8724 0.7448 0.1320
S2 0.8693 0.7386 0.7178
S3 0.5000 0.0000 0.0000
S4 0.1307 0.2614 0.2822
S5 0.1276 0.2552 0.8680

Computed properties:
Crystal system: monoclinic
Spin magnetization, μB/f.u.: 1.1
Electronic total energy, eV per cell: -45.74

=====

Record 2
Below is a geometry-optimized CsThS3 structure, with properties calculated at the PBE level.

Unit cell a=5.5264 b=5.5264 c=5.5264 alpha=90.00 beta=90.00 gamma=90.00
Positions (direct):
Cs1 0.5000 0.5000 0.5000
S1 0.0000 0.5000 0.0000
S2 0.0000 0.0000 0.5000
S3 0.5000 0.0000 0.0000
Th1 0.0000 0.0000 0.0000

Computed properties:
Crystal system: cubic
Spin magnetization, μB/f.u.: 0.0
Electronic total energy, eV per cell: -27.84

=====

Record 3
Below is a geometry-optimized Cs5ThS6 structure, with properties calculated at the PBE level.

Unit cell a=8.4474 b=8.5071 c=8.4560 alpha=59.80 beta=80.03 gamma=69.86
Positions (direct):
Cs1 0.5000 0.1742 0.6517
Cs2 0.0000 0.3342 0.3315
Cs3 0.5000 0.5000 0.0000
Cs4 0.0000 0.6658 0.6685
Cs5 0.5000 0.8258 0.3483
Th1 0.0000 0.0000 0.0000
S1 0.7912 0.0678 0.2685
S2 0.2088 0.6636 0.2685
S3 0.2070 0.1934 0.0000
S4 0.7930 0.8066 0.0000
S5 0.7912 0.3364 0.7315
S6 0.2088 0.9322 0.7315

Computed properties:
Crystal system: monoclinic
Spin magnetization, μB/f.u.: 3.2
Electronic total energy, eV per cell: -49.19

=====

Record 4
Below is a geometry-optimized Cs3ThS4 structure, with properties calculated at the PBE level.

Unit cell a=4.4030 b=8.5322 c=8.5322 alpha=109.94 beta=90.00 gamma=90.00
Positions (direct):
Cs1 0.0000 0.0000 0.5000
Cs2 0.5000 0.5000 0.5000
Cs3 0.0000 0.5000 0.0000
Th1 0.5000 0.0000 0.0000
S1 0.0000 0.8102 0.8102
S2 0.5000 0.1971 0.8029
S3 0.0000 0.1898 0.1898
S4 0.5000 0.8029 0.1971

Computed properties:
Crystal system: orthorhombic
Spin magnetization, μB/f.u.: 1.1
Electronic total energy, eV per cell: -37.05

=====

Record 5
Below is a geometry-optimized CsThS2 structure, with properties calculated at the PBE level.

Unit cell a=3.6126 b=3.6126 c=8.2578 alpha=90.00 beta=90.00 gamma=90.00
Positions (direct):
Cs1 0.5000 0.5000 0.5000
S1 0.0000 0.0000 0.8079
S2 0.0000 0.0000 0.1921
Th1 0.5000 0.5000 0.0000

Computed properties:
Crystal system: tetragonal
Spin magnetization, μB/f.u.: 0.0
Electronic total energy, eV per cell: -22.72

=====

Record 6
Below is a geometry-optimized Cs2ThS10 structure, with properties calculated at the PBE level.

Unit cell a=6.3870 b=6.9822 c=17.5019 alpha=90.00 beta=90.00 gamma=90.00
Positions (direct):
Cs1 0.5000 0.3901 0.8555
Cs2 0.5000 0.6099 0.1445
Cs3 0.5000 0.8901 0.6445
Cs4 0.5000 0.1099 0.3555
Th1 0.0000 0.5000 0.5000
Th2 0.0000 0.0000 0.0000
S1 0.0000 0.1046 0.4564
S2 0.0000 0.8954 0.5436
S3 0.0000 0.6046 0.0436
S4 0.0000 0.3954 0.9564
S5 0.0000 0.0182 0.7289
S6 0.0000 0.9818 0.2711
S7 0.3304 0.1164 0.1059
S8 0.3304 0.8836 0.8941
S9 0.6696 0.6164 0.3941
S10 0.6696 0.3836 0.6059
S11 0.6696 0.8836 0.8941
S12 0.6696 0.1164 0.1059
S13 0.3304 0.3836 0.6059
S14 0.3304 0.6164 0.3941
S15 0.0000 0.9796 0.1600
S16 0.0000 0.0204 0.8400
S17 0.0000 0.4796 0.3400
S18 0.0000 0.5204 0.6600
S19 0.0000 0.4818 0.2289
S20 0.0000 0.5182 0.7711

Computed properties:
Crystal system: orthorhombic
Spin magnetization, μB/f.u.: 0.0
Electronic total energy, eV per cell: -113.63

=====

Record 7
Below is a geometry-optimized Cs2Th3S8 structure, with properties calculated at the PBE level.

Unit cell a=7.3678 b=8.3761 c=9.3945 alpha=116.47 beta=105.53 gamma=90.00
Positions (direct):
Cs1 0.3127 0.2713 0.5426
Cs2 0.6873 0.7287 0.4574
Th1 0.5000 0.0000 0.0000
Th2 0.0000 0.2515 0.0000
Th3 0.0000 0.7485 0.0000
S1 0.0128 0.6092 0.2184
S2 0.9872 0.3908 0.7816
S3 0.8910 0.0890 0.1780
S4 0.1090 0.9110 0.8220
S5 0.6172 0.6827 0.8150
S6 0.6172 0.1323 0.8150
S7 0.3828 0.8677 0.1850
S8 0.3828 0.3173 0.1850

Computed properties:
Crystal system: monoclinic
Spin magnetization, μB/f.u.: 2.2
Electronic total energy, eV per cell: -76.62

=====

Record 8
Below is a geometry-optimized Cs2Th3S6 structure, with properties calculated at the PBE level.

Unit cell a=7.1631 b=7.1548 c=8.6774 alpha=82.17 beta=74.20 gamma=59.96
Positions (direct):
Cs1 0.1673 0.6653 0.5000
Cs2 0.8327 0.3347 0.5000
Th1 0.0000 0.0000 0.0000
Th2 0.3357 0.3286 0.0000
Th3 0.6643 0.6714 0.0000
S1 0.3944 0.6647 0.8161
S2 0.7312 0.0000 0.8115
S3 0.0591 0.3353 0.8161
S4 0.2688 0.0000 0.1885
S5 0.6056 0.3353 0.1839
S6 0.9409 0.6647 0.1839

Computed properties:
Crystal system: monoclinic
Spin magnetization, μB/f.u.: 0.0
Electronic total energy, eV per cell: -67.91

=====

Record 9
Below is a geometry-optimized Cs5Th2S6 structure, with properties calculated at the PBE level.

Unit cell a=8.7226 b=8.7226 c=18.4057 alpha=78.98 beta=78.98 gamma=63.89
Positions (direct):
Cs1 0.7198 0.2433 0.0041
Cs2 0.7567 0.2802 0.4959
Cs3 0.2802 0.7567 0.9959
Cs4 0.2433 0.7198 0.5041
Cs5 0.6903 0.0003 0.7251
Cs6 0.9997 0.3097 0.7749
Cs7 0.3097 0.9997 0.2749
Cs8 0.0003 0.6903 0.2251
Cs9 0.3180 0.6820 0.7500
Cs10 0.6820 0.3180 0.2500
Th1 0.2911 0.1646 0.5615
Th2 0.8354 0.7089 0.9385
Th3 0.7089 0.8354 0.4385
Th4 0.1646 0.2911 0.0615
S1 0.0523 0.0606 0.6249
S2 0.9394 0.9477 0.8751
S3 0.9477 0.9394 0.3751
S4 0.0606 0.0523 0.1249
S5 0.3520 0.3518 0.6383
S6 0.6482 0.6480 0.8617
S7 0.6480 0.6482 0.3617
S8 0.3518 0.3520 0.1383
S9 0.5642 0.8551 0.5850
S10 0.1449 0.4358 0.9150
S11 0.4358 0.1449 0.4150
S12 0.8551 0.5642 0.0850

Computed properties:
Crystal system: monoclinic
Spin magnetization, μB/f.u.: 0.8
Electronic total energy, eV per cell: -123.77

=====

Record 10
Below is a geometry-optimized Cs2ThTlS4 structure, with properties calculated at the PBE level.

Unit cell a=4.2814 b=8.4567 c=7.5563 alpha=72.09 beta=90.00 gamma=90.00
Positions (direct):
Cs1 0.0000 0.0000 0.0000
Cs2 0.5000 0.0000 0.5000
Th1 0.0000 0.5000 0.5000
Tl1 0.5000 0.5000 0.0000
S1 0.0000 0.6861 0.7484
S2 0.0000 0.3139 0.2516
S3 0.5000 0.6900 0.2942
S4 0.5000 0.3100 0.7058

Computed properties:
Crystal system: monoclinic
Spin magnetization, μB/f.u.: 0.0
Electronic total energy, eV per cell: -37.99

=====

Record 11
Below is a geometry-optimized Cs2TmThS4 structure, with properties calculated at the PBE level.

Unit cell a=4.1145 b=7.1196 c=8.4433 alpha=106.22 beta=90.00 gamma=90.00
Positions (direct):
Cs1 0.5000 0.0000 0.5000
Cs2 0.0000 0.5000 0.5000
Tm1 0.0000 0.0000 0.0000
Th1 0.5000 0.5000 0.0000
S1 0.5000 0.2211 0.1810
S2 0.5000 0.7789 0.8190
S3 0.0000 0.2626 0.8131
S4 0.0000 0.7374 0.1869

Computed properties:
Crystal system: monoclinic
Spin magnetization, μB/f.u.: 0.0
Electronic total energy, eV per cell: -43.92